<w>
First-principles (PBE) data for an optimized crystal structure of TbHoGeIr, as listed in Alexandria via LeMat-Bulk.

```
8
Lattice="4.088 0.000 0.000 0.000 4.103 0.000 0.000 0.000 10.653" Properties=species:S:1:pos:R:3 pbc="T T T"
Tb 0.000 0.000 0.000
Tb 0.000 2.051 5.327
Ho 2.044 0.000 2.995
Ho 2.044 2.051 8.322
Ge 2.044 0.000 6.070
Ge 2.044 2.051 0.743
Ir 0.000 0.000 7.711
Ir 0.000 2.051 2.385
```

Computed properties:
**Space group**: No. 38
**Density of states at the Fermi level**: 4.6 states/eV/cell



<x>
First-principles (PBE) data for an optimized crystal structure of TbHoGeIr, as listed in Alexandria via LeMat-Bulk.

```
16
Lattice="7.012 0.000 0.000 0.000 7.012 0.000 0.000 0.000 7.012" Properties=species:S:1:pos:R:3 pbc="T T T"
Tb 0.000 0.000 0.000
Tb 0.000 3.506 3.506
Tb 3.506 0.000 3.506
Tb 3.506 3.506 0.000
Ho 0.000 0.000 3.506
Ho 0.000 3.506 0.000
Ho 3.506 0.000 0.000
Ho 3.506 3.506 3.506
Ge 1.753 1.753 1.753
Ge 1.753 5.259 5.259
Ge 5.259 1.753 5.259
Ge 5.259 5.259 1.753
Ir 1.753 1.753 5.259
Ir 1.753 5.259 1.753
Ir 5.259 1.753 1.753
Ir 5.259 5.259 5.259
```

Computed properties:
**Space group**: No. 216
**Density of states at the Fermi level**: 11.2 states/eV/cell



Relative calculated energies, zero for the most stable structure, unit meV/atom: <w> 0; <x> 169.



<w>
First-principles (PBE) data for an optimized crystal structure of YHoGeIr, as listed in Alexandria via LeMat-Bulk.

```
16
Lattice="7.004 0.000 0.000 0.000 7.004 0.000 0.000 0.000 7.004" Properties=species:S:1:pos:R:3 pbc="T T T"
Y 0.000 0.000 0.000
Y 0.000 3.502 3.502
Y 3.502 0.000 3.502
Y 3.502 3.502 0.000
Ho 0.000 0.000 3.502
Ho 0.000 3.502 0.000
Ho 3.502 0.000 0.000
Ho 3.502 3.502 3.502
Ge 1.751 1.751 5.253
Ge 1.751 5.253 1.751
Ge 5.253 1.751 1.751
Ge 5.253 5.253 5.253
Ir 1.751 1.751 1.751
Ir 1.751 5.253 5.253
Ir 5.253 1.751 5.253
Ir 5.253 5.253 1.751
```

Computed properties:
**Space group**: No. 216
**Density of states at the Fermi level**: 10.7 states/eV/cell



<x>
First-principles (PBE) data for an optimized crystal structure of YHoGeIr, as listed in Alexandria via LeMat-Bulk.

```
8
Lattice="4.113 0.000 0.000 0.000 4.091 0.000 0.000 0.000 10.596" Properties=species:S:1:pos:R:3 pbc="T T T"
Y 0.000 0.000 0.000
Y 0.000 2.045 5.298
Ho 2.057 0.000 2.979
Ho 2.057 2.045 8.277
Ge 0.000 0.000 7.560
Ge 0.000 2.045 2.262
Ir 2.057 0.000 5.934
Ir 2.057 2.045 0.636
```

Computed properties:
**Space group**: No. 38
**Density of states at the Fermi level**: 4.9 states/eV/cell



Relative calculated energies, zero for the most stable structure, unit meV/atom: <w> 158; <x> 0.



<w>
First-principles (PBE) data for an optimized crystal structure of LaHoGe, as listed in Alexandria via LeMat-Bulk.

```
3
Lattice="4.802 0.000 0.000 -2.401 4.158 0.000 0.000 0.000 4.364" Properties=species:S:1:pos:R:3 pbc="T T T"
La 0.000 0.000 0.000
Ho 0.000 2.772 2.094
Ge 2.401 1.386 2.541
```

Computed properties:
**Space group**: No. 156
**Density of states at the Fermi level**: 1.5 states/eV/cell



<x>
First-principles (PBE) data for an optimized crystal structure of LaHoGe, as listed in Alexandria via LeMat-Bulk.

```
12
Lattice="4.516 0.000 0.000 0.000 4.516 0.000 0.000 0.000 16.619" Properties=species:S:1:pos:R:3 pbc="T T T"
La 0.000 0.000 2.989
La 0.000 0.000 13.630
La 2.258 2.258 5.320
La 2.258 2.258 11.299
Ho 0.000 2.258 0.000
Ho 0.000 2.258 8.309
Ho 2.258 0.000 0.000
Ho 2.258 0.000 8.309
Ge 0.000 0.000 6.215
Ge 0.000 0.000 10.404
Ge 2.258 2.258 2.095
Ge 2.258 2.258 14.524
```

Computed properties:
**Space group**: No. 139
**Density of states at the Fermi level**: 10.9 states/eV/cell



Relative calculated energies, zero for the most stable structure, unit meV/atom: <w> 197; <x> 0.



<w>
First-principles (PBE) data for an optimized crystal structure of La2HoGe2, as listed in Alexandria via LeMat-Bulk.

```
10
Lattice="6.356 -2.246 0.000 6.356 2.246 0.000 -5.021 0.000 9.840" Properties=species:S:1:pos:R:3 pbc="T T T"
La -0.749 0.000 1.839
La -0.686 0.000 5.806
La 8.377 0.000 4.033
La 8.440 0.000 8.000
Ho 2.840 0.000 1.309
Ho 4.851 0.000 8.530
Ge 0.138 0.000 9.257
Ge 3.154 0.000 6.015
Ge 4.538 0.000 3.824
Ge 7.554 0.000 0.583
```

Computed properties:
**Space group**: No. 12
**Density of states at the Fermi level**: 7.8 states/eV/cell



<x>
First-principles (PBE) data for an optimized crystal structure of La2HoGe2, as listed in Alexandria via LeMat-Bulk.

```
10
Lattice="7.783 0.000 0.000 0.000 7.783 0.000 0.000 0.000 4.543" Properties=species:S:1:pos:R:3 pbc="T T T"
La 1.364 2.528 0.000
La 2.528 6.420 0.000
La 5.255 1.364 0.000
La 6.420 5.255 0.000
Ho 0.000 0.000 2.271
Ho 3.892 3.892 2.271
Ge 0.949 4.841 2.271
Ge 2.942 0.949 2.271
Ge 4.841 6.834 2.271
Ge 6.834 2.942 2.271
```

Computed properties:
**Space group**: No. 127
**Density of states at the Fermi level**: 8.8 states/eV/cell



Relative calculated energies, zero for the most stable structure, unit meV/atom: <w> 54; <x> 0.



<w>
First-principles (PBE) data for an optimized crystal structure of LaHoGeRh, as listed in Alexandria via LeMat-Bulk.

```
16
Lattice="7.181 0.000 0.000 0.000 7.181 0.000 0.000 0.000 7.181" Properties=species:S:1:pos:R:3 pbc="T T T"
La 0.000 0.000 0.000
La 0.000 3.591 3.591
La 3.591 0.000 3.591
La 3.591 3.591 0.000
Ho 0.000 0.000 3.591
Ho 0.000 3.591 0.000
Ho 3.591 0.000 0.000
Ho 3.591 3.591 3.591
Ge 1.795 1.795 1.795
Ge 1.795 5.386 5.386
Ge 5.386 1.795 5.386
Ge 5.386 5.386 1.795
Rh 1.795 1.795 5.386
Rh 1.795 5.386 1.795
Rh 5.386 1.795 1.795
Rh 5.386 5.386 5.386
```

Computed properties:
**Space group**: No. 216
**Density of states at the Fermi level**: 11.7 states/eV/cell



<x>
First-principles (PBE) data for an optimized crystal structure of LaHoGeRh, as listed in Alexandria via LeMat-Bulk.

```
8
Lattice="4.615 0.000 0.000 0.000 4.615 0.000 0.000 0.000 10.076" Properties=species:S:1:pos:R:3 pbc="T T T"
La 1.154 1.154 1.768
La 3.461 3.461 8.308
Ho 1.154 3.461 5.038
Ho 3.461 1.154 5.038
Ge 1.154 1.154 8.927
Ge 3.461 3.461 1.149
Rh 1.154 1.154 6.554
Rh 3.461 3.461 3.523
```

Computed properties:
**Space group**: No. 129
**Density of states at the Fermi level**: 4.5 states/eV/cell



Relative calculated energies, zero for the most stable structure, unit meV/atom: <w> 0; <x> 57.



<w>
First-principles (PBE) data for an optimized crystal structure of LiHoGe2, as listed in Alexandria via LeMat-Bulk.

```
12
Lattice="4.207 0.000 0.000 -2.104 3.643 0.000 0.000 0.000 14.911" Properties=species:S:1:pos:R:3 pbc="T T T"
Li 0.000 0.000 0.000
Li 0.000 2.429 9.941
Li 2.104 1.214 4.970
Ho 0.000 0.000 7.456
Ho 0.000 2.429 2.485
Ho 2.104 1.214 12.426
Ge 0.000 0.000 4.184
Ge 0.000 0.000 10.727
Ge 0.000 2.429 5.756
Ge 0.000 2.429 14.125
Ge 2.104 1.214 0.786
Ge 2.104 1.214 9.155
```

Computed properties:
**Space group**: No. 166
**Density of states at the Fermi level**: 4.9 states/eV/cell



<x>
First-principles (PBE) data for an optimized crystal structure of LiHoGe2, as listed in Alexandria via LeMat-Bulk.

```
4
Lattice="3.414 0.000 0.000 0.000 3.414 0.000 0.000 0.000 6.489" Properties=species:S:1:pos:R:3 pbc="T T T"
Li 0.000 0.000 0.000
Ho 0.000 0.000 3.245
Ge 1.707 1.707 1.343
Ge 1.707 1.707 5.146
```

Computed properties:
**Space group**: No. 123
**Density of states at the Fermi level**: 2.8 states/eV/cell



Relative calculated energies, zero for the most stable structure, unit meV/atom: <w> 0; <x> 47.



<w>
First-principles (PBE) data for an optimized crystal structure of HoLuGe, as listed in Alexandria via LeMat-Bulk.

```
3
Lattice="4.669 0.000 0.000 -2.334 4.043 0.000 0.000 0.000 4.079" Properties=species:S:1:pos:R:3 pbc="T T T"
Ho 0.000 0.000 0.000
Lu 2.334 1.348 1.970
Ge 0.000 2.695 2.600
```

Computed properties:
**Space group**: No. 156
**Density of states at the Fermi level**: 0.9 states/eV/cell



<x>
First-principles (PBE) data for an optimized crystal structure of HoLuGe, as listed in Alexandria via LeMat-Bulk.

```
6
Lattice="3.426 0.000 0.000 0.000 3.426 0.000 0.000 0.000 12.788" Properties=species:S:1:pos:R:3 pbc="T T T"
Ho 0.000 0.000 0.000
Ho 1.713 1.713 6.394
Lu 0.000 0.000 9.119
Lu 1.713 1.713 2.725
Ge 0.000 0.000 4.530
Ge 1.713 1.713 10.924
```

Computed properties:
**Space group**: No. 107
**Density of states at the Fermi level**: 5.2 states/eV/cell



Relative calculated energies, zero for the most stable structure, unit meV/atom: <w> 70; <x> 0.



<w>
First-principles (PBE) data for an optimized crystal structure of HoMgGe2, as listed in Alexandria via LeMat-Bulk.

```
4
Lattice="3.583 0.000 0.000 0.000 3.583 0.000 0.000 0.000 6.434" Properties=species:S:1:pos:R:3 pbc="T T T"
Ho 0.000 0.000 0.000
Mg 0.000 0.000 3.217
Ge 1.792 1.792 1.807
Ge 1.792 1.792 4.627
```

Computed properties:
**Space group**: No. 123
**Density of states at the Fermi level**: 2.5 states/eV/cell



<x>
First-principles (PBE) data for an optimized crystal structure of HoMgGe2, as listed in Alexandria via LeMat-Bulk.

```
12
Lattice="3.338 0.000 0.000 -1.669 2.891 0.000 0.000 0.000 26.873" Properties=species:S:1:pos:R:3 pbc="T T T"
Ho 0.000 0.000 0.000
Ho 0.000 1.927 17.915
Ho 1.669 0.964 8.958
Mg 0.000 0.000 13.436
Mg 0.000 1.927 4.479
Mg 1.669 0.964 22.394
Ge 0.000 0.000 6.600
Ge 0.000 0.000 20.273
Ge 0.000 1.927 11.315
Ge 0.000 1.927 24.516
Ge 1.669 0.964 2.357
Ge 1.669 0.964 15.558
```

Computed properties:
**Space group**: No. 166
**Density of states at the Fermi level**: 6.7 states/eV/cell



Relative calculated energies, zero for the most stable structure, unit meV/atom: <w> 0; <x> 124.



<w>
First-principles (PBE) data for an optimized crystal structure of HoMgGe2, as listed in Alexandria via LeMat-Bulk.

```
4
Lattice="4.479 0.000 0.000 0.000 4.479 0.000 0.000 0.000 4.060" Properties=species:S:1:pos:R:3 pbc="T T T"
Ho 0.000 0.000 0.000
Mg 2.239 2.239 0.000
Ge 0.000 2.239 2.030
Ge 2.239 0.000 2.030
```

Computed properties:
**Space group**: No. 123
**Density of states at the Fermi level**: 2.4 states/eV/cell



<x>
First-principles (PBE) data for an optimized crystal structure of HoMgGe2, as listed in Alexandria via LeMat-Bulk.

```
16
Lattice="8.011 0.000 0.000 0.000 3.845 0.000 0.000 0.000 10.984" Properties=species:S:1:pos:R:3 pbc="T T T"
Ho 0.963 0.961 1.635
Ho 3.043 2.883 7.127
Ho 4.968 0.961 3.857
Ho 7.048 2.883 9.349
Mg 0.111 2.883 4.351
Mg 3.895 0.961 9.843
Mg 4.116 2.883 1.141
Mg 7.900 0.961 6.633
Ge 1.330 0.961 8.819
Ge 1.924 2.883 10.486
Ge 2.081 0.961 4.994
Ge 2.676 2.883 3.327
Ge 5.335 0.961 7.657
Ge 5.929 2.883 5.990
Ge 6.087 0.961 0.498
Ge 6.681 2.883 2.165
```

Computed properties:
**Space group**: No. 62
**Density of states at the Fermi level**: 6.1 states/eV/cell



Relative calculated energies, zero for the most stable structure, unit meV/atom: <w> 0; <x> 10.



<w>
First-principles (PBE) data for an optimized crystal structure of Ho4Ge2N, as listed in Alexandria via LeMat-Bulk.

```
14
Lattice="4.568 0.000 0.000 0.000 4.568 0.000 0.000 0.000 15.179" Properties=species:S:1:pos:R:3 pbc="T T T"
Ho 0.000 0.000 2.560
Ho 0.000 0.000 12.619
Ho 0.000 2.284 0.000
Ho 0.000 2.284 7.589
Ho 2.284 0.000 0.000
Ho 2.284 0.000 7.589
Ho 2.284 2.284 5.029
Ho 2.284 2.284 10.150
Ge 0.000 0.000 5.492
Ge 0.000 0.000 9.687
Ge 2.284 2.284 2.097
Ge 2.284 2.284 13.081
N 0.000 0.000 0.000
N 2.284 2.284 7.589
```

Computed properties:
**Space group**: No. 139
**Density of states at the Fermi level**: 9.2 states/eV/cell



<x>
First-principles (PBE) data for an optimized crystal structure of Ho4Ge2N, as listed in Alexandria via LeMat-Bulk.

```
14
Lattice="14.503 0.000 0.000 0.000 3.712 0.000 -1.193 0.000 5.629" Properties=species:S:1:pos:R:3 pbc="T T T"
Ho 0.692 0.000 1.522
Ho 0.979 1.856 4.706
Ho 5.080 0.000 0.922
Ho 5.367 1.856 4.107
Ho 7.943 1.856 1.522
Ho 8.231 0.000 4.706
Ho 12.331 1.856 0.922
Ho 12.619 0.000 4.107
Ge 2.989 1.856 1.949
Ge 3.070 0.000 3.680
Ge 10.240 0.000 1.949
Ge 10.322 1.856 3.680
N 0.000 1.856 0.000
N 7.252 0.000 0.000
```

Computed properties:
**Space group**: No. 12
**Density of states at the Fermi level**: 7.9 states/eV/cell



Relative calculated energies, zero for the most stable structure, unit meV/atom: <w> 0; <x> 100.



<w>
First-principles (PBE) data for an optimized crystal structure of HoGeN, as listed in Alexandria via LeMat-Bulk.

```
6
Lattice="4.811 0.000 0.000 0.000 3.371 0.000 -1.095 0.000 5.948" Properties=species:S:1:pos:R:3 pbc="T T T"
Ho 0.655 0.843 1.911
Ho 3.061 2.528 4.037
Ge 0.654 0.843 4.977
Ge 3.062 2.528 0.971
N 0.646 2.528 3.596
N 3.070 0.843 2.352
```

Computed properties:
**Space group**: No. 11
**Density of states at the Fermi level**: 0.4 states/eV/cell



<x>
First-principles (PBE) data for an optimized crystal structure of HoGeN, as listed in Alexandria via LeMat-Bulk.

```
6
Lattice="4.933 0.000 0.000 0.000 3.974 0.000 -0.931 0.000 5.330" Properties=species:S:1:pos:R:3 pbc="T T T"
Ho 0.753 0.993 1.957
Ho 3.249 2.980 3.373
Ge 0.753 2.980 5.091
Ge 3.249 0.993 0.240
N 0.747 2.980 3.128
N 3.255 0.993 2.202
```

Computed properties:
**Space group**: No. 11
**Density of states at the Fermi level**: 0.9 states/eV/cell



Relative calculated energies, zero for the most stable structure, unit meV/atom: <w> 188; <x> 0.



<w>
First-principles (PBE) data for an optimized crystal structure of Ho2Nb3Ge4, as listed in Alexandria via LeMat-Bulk.

```
36
Lattice="7.007 0.000 0.000 0.000 13.561 0.000 0.000 0.000 7.186" Properties=species:S:1:pos:R:3 pbc="T T T"
Ho 0.028 1.288 1.251
Ho 0.028 5.493 1.251
Ho 3.476 8.068 4.844
Ho 3.476 12.273 4.844
Ho 3.531 1.288 2.342
Ho 3.531 5.493 2.342
Ho 6.979 8.068 5.935
Ho 6.979 12.273 5.935
Nb 1.115 8.499 2.363
Nb 1.115 11.843 2.363
Nb 1.157 3.390 3.680
Nb 2.346 10.171 0.087
Nb 2.388 1.718 5.956
Nb 2.388 5.062 5.956
Nb 4.619 8.499 1.230
Nb 4.619 11.843 1.230
Nb 4.661 3.390 7.099
Nb 5.850 10.171 3.506
Nb 5.892 1.718 4.823
Nb 5.892 5.062 4.823
Ge 0.280 3.390 6.322
Ge 1.228 0.564 3.869
Ge 1.228 6.217 3.869
Ge 1.359 10.171 4.592
Ge 2.144 3.390 0.999
Ge 2.275 7.344 0.276
Ge 2.275 12.997 0.276
Ge 3.223 10.171 2.729
Ge 3.784 3.390 4.457
Ge 4.732 0.564 6.910
Ge 4.732 6.217 6.910
Ge 4.863 10.171 6.187
Ge 5.648 3.390 2.594
Ge 5.779 7.344 3.317
Ge 5.779 12.997 3.317
Ge 6.727 10.171 0.864
```

Computed properties:
**Space group**: No. 62
**Density of states at the Fermi level**: 15.6 states/eV/cell



<x>
First-principles (PBE) data for an optimized crystal structure of Ho2Nb3Ge4, as listed in Alexandria via LeMat-Bulk.

```
18
Lattice="7.170 0.000 0.000 0.000 7.170 0.000 -2.340 0.000 6.632" Properties=species:S:1:pos:R:3 pbc="T T T"
Ho 1.206 1.230 0.391
Ho 0.036 2.355 3.707
Ho 4.794 4.815 2.925
Ho 3.625 5.940 6.241
Nb 1.252 4.840 1.635
Nb 0.082 5.914 4.951
Nb 2.415 0.000 3.316
Nb 3.585 3.585 0.000
Nb 4.748 1.255 1.681
Nb 3.578 2.329 4.997
Ge -1.400 3.848 5.682
Ge -0.231 6.906 2.366
Ge 1.493 0.940 5.742
Ge 2.662 2.645 2.426
Ge 2.168 4.525 4.207
Ge 3.338 6.230 0.891
Ge 5.061 0.263 4.266
Ge 6.231 3.322 0.950
```

Computed properties:
**Space group**: No. 14
**Density of states at the Fermi level**: 9.1 states/eV/cell



Relative calculated energies, zero for the most stable structure, unit meV/atom: <w> 0; <x> 8.